No. 1
The following is a DFT calculation (GGA-PBEsol) of an optimized crystal structure of MgMn2As2.

space group: No. 139
crystal system: tetragonal
DFT formation energy: 0.439 eV per formula unit

abc: 5.092 5.092 5.092
angles: 128.85 128.85 75.25
Atoms (fractional coordinates):
Mg: 0.000 0.000 0.000
Mn: 0.378 0.378 0.000
Mn: 0.622 0.622 0.000
As: 0.250 0.750 0.500
As: 0.750 0.250 0.500


No. 2
The following is a DFT calculation (GGA-PBEsol) of an optimized crystal structure of NiRh2Au.

space group: No. 99
crystal system: tetragonal
DFT formation energy: 0.364 eV per formula unit

abc: 2.713 2.713 7.387
angles: 90.00 90.00 90.00
Atoms (fractional coordinates):
Ni: 0.000 0.000 0.000
Rh: 0.000 0.000 0.467
Rh: 0.500 0.500 0.224
Au: 0.500 0.500 0.749


No. 3
The following is a DFT calculation (GGA-PBEsol) of an optimized crystal structure of Y2IrBr.

space group: No. 71
crystal system: orthorhombic
formation energy (no corrections): -0.71 eV/atom

abc: 5.113 5.113 5.113
angles: 130.77 113.56 86.97
Atoms (fractional coordinates):
Y: 0.240 0.240 0.000
Y: 0.760 0.760 0.000
Ir: 0.000 0.500 0.500
Br: 0.500 0.000 0.500